# 1
Compound: ErTm7In2
Source: Alexandria via LeMat-Bulk
Functional: PBE
Structure: relaxed

The structure in extended XYZ format:
```
10
Lattice="4.509 -7.636 0.000 4.509 7.636 0.000 0.000 0.000 5.328" Properties=species:S:1:pos:R:3 pbc="T T T"
Er 0.000 0.000 0.000
Tm 1.629 1.844 2.664
Tm 4.509 4.185 0.000
Tm 1.629 -1.844 2.664
Tm 4.509 0.000 2.664
Tm 7.389 1.844 2.664
Tm 4.509 -4.185 0.000
Tm 7.389 -1.844 2.664
In 4.509 2.991 2.664
In 4.509 -2.991 2.664
```

Values from the calculation:
magnetic moment	0.00	μB/cell
energy of formation	0.36	eV per atom
density of states at the Fermi level	1.818	states/eV/atom



# 2
Compound: Er2Tm8In
Source: Alexandria via LeMat-Bulk
Functional: PBE
Structure: relaxed

The structure in extended XYZ format:
```
11
Lattice="6.075 -5.433 0.000 6.075 5.433 0.000 -1.695 0.000 5.576" Properties=species:S:1:pos:R:3 pbc="T T T"
Er 1.599 0.000 0.082
Er 8.856 0.000 5.494
Tm 3.820 2.800 3.834
Tm 2.203 0.000 3.442
Tm 6.635 2.800 1.743
Tm 4.745 0.000 1.214
Tm 5.711 0.000 4.362
Tm 3.820 -2.800 3.834
Tm 8.252 0.000 2.135
Tm 6.635 -2.800 1.743
In -0.848 0.000 2.788
```

Values from the calculation:
magnetic moment	0.00	μB/cell
energy of formation	0.34	eV per atom
density of states at the Fermi level	1.299	states/eV/atom